A relaxed structure of MnAg2F8. Source: Alexandria, functional PBE with a Hubbard U.

Properties
- Magnetic moment: 0.457 μB per atom
- Space group: C2/m, No. 12
- Energy above the lowest structure with this stoichiometry: 0.000 eV per atom

a b c (Å): 4.777 5.820 5.820
angles (deg): 75.40 87.88 87.88
Each line ends with the local moment (μB).
Element x y z (fractional)
1 Mn 0.000 0.000 0.000  3.10
2 F 0.281 0.135 0.135  0.05
3 F 0.813 0.292 0.930  0.04
4 F 0.187 0.070 0.708  0.04
5 F 0.187 0.708 0.070  0.04
6 F 0.813 0.930 0.292  0.04
7 F 0.256 0.591 0.591  0.25
8 F 0.744 0.409 0.409  0.25
9 F 0.719 0.865 0.865  0.05
10 Ag 0.253 0.366 0.366  0.53
11 Ag 0.747 0.634 0.634  0.53